Version A
First-principles (PBE) data for a relaxed La2Pm7Y3 crystal, as listed in Alexandria.

a = 5.9607 Å, b = 3.6573 Å, c = 19.1470 Å
α = 90.00°, β = 93.60°, γ = 90.00°
Space group P2/m (No. 10)
Unique sites:
1 La 0.2036 0.0000 0.2970 (multiplicity 2)
2 Pm 0.1805 0.5000 0.1431 (multiplicity 2)
3 Pm 0.2419 0.0000 0.4638 (multiplicity 2)
4 Pm 0.3191 0.0000 0.8241 (multiplicity 2)
5 Pm 0.5000 0.5000 0.0000 (multiplicity 1)
6 Y 0.0000 0.0000 0.0000 (multiplicity 1)
7 Y 0.2827 0.5000 0.6302 (multiplicity 2)

Calculated values
magnetic moment = 0.00 μB/atom
crystal system = monoclinic

Version B
First-principles (PBE) data for a relaxed La2Pm7Y3 crystal, as listed in Alexandria.

a = 3.6518 Å, b = 5.8511 Å, c = 19.7032 Å
α = 86.29°, β = 84.78°, γ = 89.99°
Space group P-1 (No. 2)
Unique sites:
1 La 0.1426 0.2081 0.2089 (multiplicity 2)
2 Pm 0.0855 0.6770 0.3249 (multiplicity 2)
3 Pm 0.2285 0.2414 0.0419 (multiplicity 2)
4 Pm 0.4317 0.8260 0.6398 (multiplicity 2)
5 Pm 0.5000 0.5000 0.5000 (multiplicity 1)
6 Y 0.0000 0.0000 0.5000 (multiplicity 1)
7 Y 0.3231 0.2798 0.8598 (multiplicity 2)

Calculated values
magnetic moment = 0.00 μB/atom
crystal system = triclinic

Stability summary: most stable version A, least stable version B.

Version A
First-principles (PBE) data for a relaxed La5PmY2 crystal, as listed in Alexandria.

a = 3.6314 Å, b = 11.4397 Å, c = 13.6435 Å
α = 90.00°, β = 90.00°, γ = 90.00°
Space group Immm (No. 71)
Unique sites:
1 La 0.0000 0.0000 0.0000 (multiplicity 2)
2 La 0.0000 0.2666 0.3710 (multiplicity 8)
3 Pm 0.0000 0.5000 0.0000 (multiplicity 2)
4 Y 0.0000 0.0000 0.2572 (multiplicity 4)

Calculated values
magnetic moment = 0.00 μB/atom
crystal system = orthorhombic

Version B
First-principles (PBE) data for a relaxed La5PmY2 crystal, as listed in Alexandria.

a = 5.7199 Å, b = 12.1667 Å, c = 16.6146 Å
α = 90.00°, β = 90.00°, γ = 90.00°
Space group Cmcm (No. 63)
Unique sites:
1 La 0.0000 0.0290 0.2500 (multiplicity 4)
2 La 0.0000 0.1143 0.5518 (multiplicity 8)
3 La 0.0000 0.4234 0.5934 (multiplicity 8)
4 Pm 0.0000 0.2505 0.7500 (multiplicity 4)
5 Y 0.0000 0.2745 0.1354 (multiplicity 8)

Calculated values
magnetic moment = 0.00 μB/atom
crystal system = orthorhombic

Stability summary: most stable version A, least stable version B.

Version A
First-principles (PBE) data for a relaxed La3Pm2Y3 crystal, as listed in Alexandria.

a = 24.5656 Å, b = 3.6923 Å, c = 6.3320 Å
α = 90.00°, β = 104.76°, γ = 90.00°
Space group C2/m (No. 12)
Unique sites:
1 La 0.0000 0.0000 0.0000 (multiplicity 2)
2 La 0.1254 0.0000 0.4603 (multiplicity 4)
3 Pm 0.2482 0.0000 0.2463 (multiplicity 4)
4 Y 0.0000 0.5000 0.5000 (multiplicity 2)
5 Y 0.1254 0.5000 0.9586 (multiplicity 4)

Calculated values
magnetic moment = 0.00 μB/atom
crystal system = monoclinic

Version B
First-principles (PBE) data for a relaxed La3Pm2Y3 crystal, as listed in Alexandria.

a = 5.1264 Å, b = 5.1969 Å, c = 20.7820 Å
α = 90.00°, β = 90.00°, γ = 90.00°
Space group Immm (No. 71)
Unique sites:
1 La 0.0000 0.0000 0.0000 (multiplicity 2)
2 La 0.0000 0.5000 0.1237 (multiplicity 4)
3 Pm 0.0000 0.0000 0.2489 (multiplicity 4)
4 Y 0.0000 0.0000 0.5000 (multiplicity 2)
5 Y 0.0000 0.5000 0.3734 (multiplicity 4)

Calculated values
magnetic moment = 0.00 μB/atom
crystal system = orthorhombic

Stability summary: most stable version A, least stable version B.

Version A
First-principles (PBE) data for a relaxed LaPm8Y2 crystal, as listed in Alexandria.

a = 19.5846 Å, b = 7.0884 Å, c = 5.6762 Å
α = 90.00°, β = 93.42°, γ = 90.00°
Space group C2/m (No. 12)
Unique sites:
1 La 0.0000 0.0000 0.0000 (multiplicity 2)
2 Pm 0.0447 0.5000 0.2389 (multiplicity 4)
3 Pm 0.1332 0.2686 0.7304 (multiplicity 8)
4 Pm 0.1878 0.0000 0.2311 (multiplicity 4)
5 Y 0.2156 0.5000 0.2533 (multiplicity 4)

Calculated values
magnetic moment = 0.00 μB/atom
crystal system = monoclinic

Version B
First-principles (PBE) data for a relaxed LaPm8Y2 crystal, as listed in Alexandria.

a = 5.7025 Å, b = 8.3262 Å, c = 16.0936 Å
α = 90.00°, β = 90.00°, γ = 90.00°
Space group Immm (No. 71)
Unique sites:
1 La 0.0000 0.0000 0.0000 (multiplicity 2)
2 Pm 0.0000 0.2056 0.5000 (multiplicity 4)
3 Pm 0.0000 0.2963 0.1382 (multiplicity 8)
4 Pm 0.0000 0.5000 0.3364 (multiplicity 4)
5 Y 0.0000 0.0000 0.2999 (multiplicity 4)

Calculated values
magnetic moment = 0.00 μB/atom
crystal system = orthorhombic

Stability summary: most stable version B, least stable version A.

Version A
First-principles (PBE) data for a relaxed La3PmY6 crystal, as listed in Alexandria.

a = 10.0435 Å, b = 10.0435 Å, c = 11.6716 Å
α = 90.00°, β = 90.00°, γ = 120.00°
Space group R3 (No. 146, hexagonal axes)
Unique sites:
1 La 0.0000 0.0000 0.0000 (multiplicity 3)
2 La 0.0000 0.0000 0.2484 (multiplicity 3)
3 La 0.0000 0.0000 0.4977 (multiplicity 3)
4 Pm 0.0000 0.0000 0.7478 (multiplicity 3)
5 Y 0.0023 0.3258 0.4989 (multiplicity 9)
6 Y 0.0096 0.6682 0.6644 (multiplicity 9)

Calculated values
magnetic moment = 0.00 μB/atom
crystal system = trigonal

Version B
First-principles (PBE) data for a relaxed La3PmY6 crystal, as listed in Alexandria.

a = 13.8512 Å, b = 14.6815 Å, c = 6.8832 Å
α = 90.00°, β = 90.00°, γ = 90.00°
Space group Cmc2_1 (No. 36)
Unique sites:
1 La 0.0000 0.1078 0.0000 (multiplicity 4)
2 La 0.2008 0.4614 0.2741 (multiplicity 8)
3 Pm 0.0000 0.3109 0.8254 (multiplicity 4)
4 Y 0.0000 0.2848 0.3209 (multiplicity 4)
5 Y 0.0000 0.4865 0.5517 (multiplicity 4)
6 Y 0.1166 0.0980 0.4990 (multiplicity 8)
7 Y 0.2396 0.2103 0.1091 (multiplicity 8)

Calculated values
magnetic moment = 0.00 μB/atom
crystal system = orthorhombic

Stability summary: most stable version B, least stable version A.

Version A
First-principles (PBE) data for a relaxed La2Pm6Y crystal, as listed in Alexandria.

a = 6.3336 Å, b = 6.3610 Å, c = 8.2004 Å
α = 82.68°, β = 75.13°, γ = 80.44°
Space group P-1 (No. 2)
Unique sites:
1 La 0.0562 0.1108 0.2782 (multiplicity 2)
2 Pm 0.1676 0.3324 0.8328 (multiplicity 2)
3 Pm 0.2791 0.5542 0.3895 (multiplicity 2)
4 Pm 0.3891 0.7764 0.9449 (multiplicity 2)
5 Y 0.5000 0.0000 0.5000 (multiplicity 1)

Calculated values
magnetic moment = 0.00 μB/atom
crystal system = triclinic

Version B
First-principles (PBE) data for a relaxed La2Pm6Y crystal, as listed in Alexandria.

a = 3.6627 Å, b = 3.6627 Å, c = 27.2364 Å
α = 90.00°, β = 90.00°, γ = 120.00°
Space group P-6m2 (No. 187)
Unique sites:
1 La 0.0000 0.0000 0.1706 (multiplicity 2)
2 Pm 0.0000 0.0000 0.3931 (multiplicity 2)
3 Pm 0.6667 0.3333 0.0621 (multiplicity 2)
4 Pm 0.6667 0.3333 0.2854 (multiplicity 2)
5 Y 0.6667 0.3333 0.5000 (multiplicity 1)

Calculated values
magnetic moment = 0.00 μB/atom
crystal system = hexagonal

Stability summary: most stable version A, least stable version B.

Version A
First-principles (PBE) data for a relaxed La3Pm4Y crystal, as listed in Alexandria.

a = 25.7635 Å, b = 3.5170 Å, c = 6.3083 Å
α = 90.00°, β = 94.80°, γ = 90.00°
Space group C2/m (No. 12)
Unique sites:
1 La 0.0000 0.0000 0.0000 (multiplicity 2)
2 La 0.1447 0.0000 0.2513 (multiplicity 4)
3 Pm 0.1066 0.0000 0.7399 (multiplicity 4)
4 Pm 0.2218 0.5000 0.7411 (multiplicity 4)
5 Y 0.0000 0.5000 0.5000 (multiplicity 2)

Calculated values
magnetic moment = 0.00 μB/atom
crystal system = monoclinic

Version B
First-principles (PBE) data for a relaxed La3Pm4Y crystal, as listed in Alexandria.

a = 11.8825 Å, b = 7.4379 Å, c = 6.4282 Å
α = 90.00°, β = 90.00°, γ = 90.00°
Space group Pmn2_1 (No. 31)
Unique sites:
1 La 0.0000 0.1283 0.0000 (multiplicity 2)
2 La 0.2489 0.8753 0.8318 (multiplicity 4)
3 Pm 0.0000 0.3762 0.4994 (multiplicity 2)
4 Pm 0.0000 0.6231 0.9973 (multiplicity 2)
5 Pm 0.2476 0.6242 0.3307 (multiplicity 4)
6 Y 0.0000 0.8727 0.4957 (multiplicity 2)

Calculated values
magnetic moment = 0.00 μB/atom
crystal system = orthorhombic

Stability summary: most stable version B, least stable version A.

Version A
First-principles (PBE) data for a relaxed LaPm2Y3 crystal, as listed in Alexandria.

a = 9.0801 Å, b = 9.9887 Å, c = 9.0911 Å
α = 90.00°, β = 101.48°, γ = 90.00°
Space group C2/c (No. 15)
Unique sites:
1 La 0.0000 0.0872 0.2500 (multiplicity 4)
2 Pm 0.1228 0.2537 0.6260 (multiplicity 8)
3 Y 0.0000 0.4202 0.2500 (multiplicity 4)
4 Y 0.2486 0.0840 0.9988 (multiplicity 8)

Calculated values
magnetic moment = 0.00 μB/atom
crystal system = monoclinic

Version B
First-principles (PBE) data for a relaxed LaPm2Y3 crystal, as listed in Alexandria.

a = 7.1059 Å, b = 7.1059 Å, c = 9.6073 Å
α = 90.00°, β = 90.00°, γ = 120.00°
Space group P-3m1 (No. 164)
Unique sites:
1 La 0.3333 0.6667 0.4386 (multiplicity 2)
2 Pm 0.0000 0.0000 0.0000 (multiplicity 1)
3 Pm 0.0000 0.0000 0.5000 (multiplicity 1)
4 Pm 0.3333 0.6667 0.0880 (multiplicity 2)
5 Y 0.1834 0.3668 0.7664 (multiplicity 6)

Calculated values
magnetic moment = 0.00 μB/atom
crystal system = trigonal

Stability summary: most stable version A, least stable version B.

Version A
First-principles (PBE) data for a relaxed La6PmY2 crystal, as listed in Alexandria.

a = 12.9713 Å, b = 7.4835 Å, c = 6.5613 Å
α = 90.00°, β = 90.07°, γ = 90.00°
Space group C2/m (No. 12)
Unique sites:
1 La 0.0944 0.2168 0.2059 (multiplicity 8)
2 La 0.1891 0.5000 0.7938 (multiplicity 4)
3 Pm 0.0000 0.5000 0.5000 (multiplicity 2)
4 Y 0.1665 0.0000 0.7035 (multiplicity 4)

Calculated values
magnetic moment = 0.00 μB/atom
crystal system = monoclinic

Version B
First-principles (PBE) data for a relaxed La6PmY2 crystal, as listed in Alexandria.

a = 9.4759 Å, b = 18.2797 Å, c = 3.7247 Å
α = 90.00°, β = 98.90°, γ = 90.00°
Space group C2/m (No. 12)
Unique sites:
1 La 0.1691 0.0000 0.3082 (multiplicity 4)
2 La 0.1690 0.1719 0.8181 (multiplicity 8)
3 Pm 0.0000 0.5000 0.0000 (multiplicity 2)
4 Y 0.0000 0.3382 0.5000 (multiplicity 4)

Calculated values
magnetic moment = 0.00 μB/atom
crystal system = monoclinic

Stability summary: most stable version B, least stable version A.

Version A
First-principles (PBE) data for a relaxed La2Pm7Y2 crystal, as listed in Alexandria.

a = 8.5702 Å, b = 11.1010 Å, c = 8.4024 Å
α = 90.00°, β = 106.78°, γ = 90.00°
Space group C2/m (No. 12)
Unique sites:
1 La 0.0000 0.2188 0.0000 (multiplicity 4)
2 Pm 0.0000 0.5000 0.5000 (multiplicity 2)
3 Pm 0.0749 0.0000 0.3176 (multiplicity 4)
4 Pm 0.2016 0.2026 0.6653 (multiplicity 8)
5 Y 0.1901 0.5000 0.9651 (multiplicity 4)

Calculated values
magnetic moment = 0.00 μB/atom
crystal system = monoclinic

Version B
First-principles (PBE) data for a relaxed La2Pm7Y2 crystal, as listed in Alexandria.

a = 3.7035 Å, b = 17.3923 Å, c = 12.0119 Å
α = 90.00°, β = 90.00°, γ = 90.00°
Space group Imm2 (No. 44)
Unique sites:
1 La 0.0000 0.1163 0.0000 (multiplicity 4)
2 Pm 0.0000 0.0000 0.7753 (multiplicity 2)
3 Pm 0.0000 0.1912 0.4907 (multiplicity 4)
4 Pm 0.0000 0.3277 0.7337 (multiplicity 4)
5 Pm 0.0000 0.3381 0.2383 (multiplicity 4)
6 Y 0.0000 0.0000 0.2693 (multiplicity 2)
7 Y 0.0000 0.5000 0.0248 (multiplicity 2)

Calculated values
magnetic moment = 0.00 μB/atom
crystal system = orthorhombic

Stability summary: most stable version B, least stable version A.